[1]
Entry from Alexandria: a geometry-optimized NaGeP2 structure (GGA-PBE). Values from VASP.

```
&SYSTEM
  ibrav = 0, nat = 4, ntyp = 3
/
ATOMIC_SPECIES
Na 22.99 Na.upf
Ge 72.64 Ge.upf
P 30.97 P.upf
ATOMIC_POSITIONS crystal
Na 0.000 0.000 0.000
Ge 0.500 0.500 0.500
P 0.234 0.234 0.234
P 0.766 0.766 0.766
CELL_PARAMETERS angstrom
1.745 1.007 7.398
-1.745 1.007 7.398
0.000 -2.014 7.398
```

Results
Energy of formation in eV per atom: 0.0663
Space-group type: R-3m

***

[2]
Entry from Alexandria: a geometry-optimized HfReSi structure (GGA-PBE). Values from VASP.

```
&SYSTEM
  ibrav = 0, nat = 6, ntyp = 3
/
ATOMIC_SPECIES
Hf 178.49 Hf.upf
Re 186.21 Re.upf
Si 28.09 Si.upf
ATOMIC_POSITIONS crystal
Hf 0.000 0.000 0.000
Hf 0.814 0.314 0.500
Re 0.174 0.674 0.500
Re 0.495 0.495 0.000
Si 0.356 0.856 0.500
Si 0.633 0.133 0.500
CELL_PARAMETERS angstrom
-1.630 2.137 7.003
1.630 -2.137 7.003
1.630 2.137 -7.003
```

Results
Uncorrected formation energy in eV per atom: -0.424
Space-group type: Imm2

***

[3]
Entry from Alexandria: a geometry-optimized Co2GeRh structure (GGA-PBE). Values from VASP.

```
&SYSTEM
  ibrav = 0, nat = 8, ntyp = 3
/
ATOMIC_SPECIES
Co 58.93 Co.upf
Ge 72.64 Ge.upf
Rh 102.91 Rh.upf
ATOMIC_POSITIONS crystal
Co 0.096 0.625 0.971
Co 0.375 0.346 0.471
Co 0.654 0.125 0.029
Co 0.875 0.904 0.529
Ge 0.000 0.000 0.000
Ge 0.750 0.250 0.500
Rh 0.250 0.750 0.500
Rh 0.500 0.500 0.000
CELL_PARAMETERS angstrom
-1.762 1.762 8.922
1.762 -1.762 8.922
1.762 1.762 -8.922
```

Results
Energy of formation in eV per atom: 0.2129
Space-group type: I-42d

***

[4]
Entry from Alexandria: a geometry-optimized K2LaMn structure (GGA-PBE). Values from VASP.

```
&SYSTEM
  ibrav = 0, nat = 4, ntyp = 3
/
ATOMIC_SPECIES
K 39.10 K.upf
La 138.91 La.upf
Mn 54.94 Mn.upf
ATOMIC_POSITIONS crystal
K 0.000 0.500 0.000
K 0.500 0.000 0.000
La 0.000 0.000 0.500
Mn 0.500 0.500 0.500
CELL_PARAMETERS angstrom
4.751 0.000 0.000
0.000 4.751 0.000
0.000 0.000 6.797
```

Results
Offset from the most stable computed form in meV/atom: 286.1
Energy of formation in eV per atom: 0.7247
Space-group type: P4/mmm

***

[5]
Entry from Alexandria: a geometry-optimized GdLuRu4 structure (GGA-PBE). Values from VASP.

```
&SYSTEM
  ibrav = 0, nat = 6, ntyp = 3
/
ATOMIC_SPECIES
Gd 157.25 Gd.upf
Lu 174.97 Lu.upf
Ru 101.07 Ru.upf
ATOMIC_POSITIONS crystal
Gd 0.000 0.000 0.000
Lu 0.750 0.750 0.750
Ru 0.375 0.375 0.375
Ru 0.375 0.375 0.874
Ru 0.375 0.874 0.375
Ru 0.874 0.375 0.375
CELL_PARAMETERS angstrom
0.000 3.762 3.762
3.762 0.000 3.762
3.762 3.762 0.000
```

Results
Energy of formation in eV per atom: -0.3051
Space-group type: F-43m

***

[6]
Entry from Alexandria: a geometry-optimized KSbPt2Pb structure (GGA-PBE). Values from VASP.

```
&SYSTEM
  ibrav = 0, nat = 10, ntyp = 4
/
ATOMIC_SPECIES
K 39.10 K.upf
Sb 121.76 Sb.upf
Pt 195.08 Pt.upf
Pb 207.20 Pb.upf
ATOMIC_POSITIONS crystal
K 0.249 0.250 0.207
K 0.751 0.750 0.793
Sb 0.235 0.750 0.864
Sb 0.765 0.250 0.136
Pt 0.077 0.750 0.578
Pt 0.433 0.250 0.912
Pt 0.567 0.750 0.088
Pt 0.923 0.250 0.422
Pb 0.316 0.250 0.599
Pb 0.684 0.750 0.401
CELL_PARAMETERS angstrom
7.411 0.000 0.000
0.000 4.405 0.000
-2.009 0.000 9.102
```

Results
Uncorrected formation energy in eV per atom: -0.344
Space-group type: P2_1/m

***

[7]
Entry from Alexandria: a geometry-optimized CrFeHg2Os structure (GGA-PBE). Values from VASP.

```
&SYSTEM
  ibrav = 0, nat = 5, ntyp = 4
/
ATOMIC_SPECIES
Cr 52.00 Cr.upf
Fe 55.84 Fe.upf
Hg 200.59 Hg.upf
Os 190.23 Os.upf
ATOMIC_POSITIONS crystal
Cr 0.000 0.000 0.000
Fe 0.000 0.000 0.500
Hg 0.000 0.500 0.000
Hg 0.500 0.000 0.000
Os 0.500 0.500 0.500
CELL_PARAMETERS angstrom
4.963 0.000 0.000
0.000 4.963 0.000
0.000 0.000 3.984
```

Results
Energy of formation in eV per atom: 1.8514
Space-group type: P4/mmm

***

[8]
Entry from Alexandria: a geometry-optimized Sm2TlPb5 structure (GGA-PBE). Values from VASP.

```
&SYSTEM
  ibrav = 0, nat = 16, ntyp = 3
/
ATOMIC_SPECIES
Sm 150.36 Sm.upf
Tl 204.38 Tl.upf
Pb 207.20 Pb.upf
ATOMIC_POSITIONS crystal
Sm 0.245 0.127 0.000
Sm 0.255 0.627 0.000
Sm 0.745 0.373 0.000
Sm 0.755 0.873 0.000
Tl 0.000 0.500 0.500
Tl 0.500 0.000 0.500
Pb 0.000 0.000 0.500
Pb 0.002 0.749 0.500
Pb 0.246 0.377 0.000
Pb 0.254 0.877 0.000
Pb 0.498 0.249 0.500
Pb 0.500 0.500 0.500
Pb 0.502 0.751 0.500
Pb 0.746 0.123 0.000
Pb 0.754 0.623 0.000
Pb 0.998 0.251 0.500
CELL_PARAMETERS angstrom
6.870 0.000 0.000
0.000 13.756 0.000
0.000 0.000 4.947
```

Results
Energy of formation in eV per atom: -0.3460
Space-group type: Pbam

***

[9]
Entry from Alexandria: a geometry-optimized AlTl3Te2O9 structure (GGA-PBE). Values from VASP.

```
&SYSTEM
  ibrav = 0, nat = 15, ntyp = 4
/
ATOMIC_SPECIES
Al 26.98 Al.upf
Tl 204.38 Tl.upf
Te 127.60 Te.upf
O 16.00 O.upf
ATOMIC_POSITIONS crystal
Al 0.000 0.000 0.000
Tl 0.000 0.000 0.500
Tl 0.333 0.667 0.169
Tl 0.667 0.333 0.831
Te 0.333 0.667 0.684
Te 0.667 0.333 0.316
O 0.000 0.500 0.500
O 0.165 0.330 0.838
O 0.165 0.835 0.838
O 0.330 0.165 0.162
O 0.500 0.000 0.500
O 0.500 0.500 0.500
O 0.670 0.835 0.838
O 0.835 0.165 0.162
O 0.835 0.670 0.162
CELL_PARAMETERS angstrom
5.706 0.000 0.000
-2.853 4.941 0.000
0.000 0.000 7.012
```

Results
Uncorrected formation energy in eV per atom: -1.012
Space-group type: P-3m1

***

[10]
Entry from Alexandria: a geometry-optimized NaAcNdTm structure (GGA-PBE). Values from VASP.

```
&SYSTEM
  ibrav = 0, nat = 4, ntyp = 4
/
ATOMIC_SPECIES
Na 22.99 Na.upf
Ac 227.00 Ac.upf
Nd 144.24 Nd.upf
Tm 168.93 Tm.upf
ATOMIC_POSITIONS crystal
Na 0.000 0.000 0.000
Ac 0.750 0.750 0.750
Nd 0.250 0.250 0.250
Tm 0.500 0.500 0.500
CELL_PARAMETERS angstrom
0.000 4.157 4.157
4.157 0.000 4.157
4.157 4.157 0.000
```

Results
Energy of formation in eV per atom: 0.2390
Space-group type: F-43m

***

[11]
Entry from Alexandria: a geometry-optimized Pm2ZnGa3Ni4 structure (GGA-PBE). Values from VASP.

```
&SYSTEM
  ibrav = 0, nat = 10, ntyp = 4
/
ATOMIC_SPECIES
Pm 145.00 Pm.upf
Zn 65.41 Zn.upf
Ga 69.72 Ga.upf
Ni 58.69 Ni.upf
ATOMIC_POSITIONS crystal
Pm 0.000 0.500 0.245
Pm 0.500 0.000 0.755
Zn 0.000 0.000 0.500
Ga 0.000 0.500 0.876
Ga 0.500 0.000 0.124
Ga 0.500 0.500 0.500
Ni 0.000 0.000 0.000
Ni 0.000 0.500 0.633
Ni 0.500 0.000 0.367
Ni 0.500 0.500 0.000
CELL_PARAMETERS angstrom
4.146 0.000 0.000
0.000 4.146 0.000
0.000 0.000 9.881
```

Results
Energy of formation in eV per atom: -0.5099
Space-group type: P-4m2

***

[12]
Entry from Alexandria: a geometry-optimized Tb7Y2Sc structure (GGA-PBE). Values from VASP.

```
&SYSTEM
  ibrav = 0, nat = 10, ntyp = 3
/
ATOMIC_SPECIES
Tb 158.93 Tb.upf
Y 88.91 Y.upf
Sc 44.96 Sc.upf
ATOMIC_POSITIONS crystal
Tb 0.000 0.000 0.000
Tb 0.160 0.353 0.000
Tb 0.314 0.686 0.500
Tb 0.353 0.160 0.000
Tb 0.647 0.840 0.000
Tb 0.686 0.314 0.500
Tb 0.840 0.647 0.000
Y 0.207 0.793 0.000
Y 0.793 0.207 0.000
Sc 0.500 0.500 0.500
CELL_PARAMETERS angstrom
3.234 -14.269 0.000
3.234 14.269 0.000
0.000 0.000 3.458
```

Results
Energy of formation in eV per atom: 0.1743
Space-group type: Cmmm

***

no.,electronic total energy (Ry/atom)
1,-0.3030
2,-0.7129
3,-0.4654
4,-0.2461
5,-0.7048
6,-0.3341
7,-0.3037
8,-0.3042
9,-0.3770
10,-0.2519
11,-0.3534
12,-0.3670